Record 1
Density functional theory data (PBE-GGA) for an optimized crystal structure of Na4Dy3ZrS8.

Summary:
**ΔE_f (raw)**: -1.73 eV/atom
**Total DFT energy (no corrections)**: -88.40 eV/cell

abc: 7.8223 8.0834 7.8226
angles: 118.95 120.00 90.00
With the nearest neighbours (Å) after each atom.
Atoms (fractional coordinates):
S 0.2362 0.7254 0.4724  1 Zr 2.65, 2 Dy 2.75, 3 Na 2.88-2.97
Dy 0.5000 0.5000 0.5000  6 S 2.73-2.75
Na 0.5000 0.0000 0.0000  6 S 2.97
Dy 0.0000 0.5000 0.5000  6 S 2.73-2.75
Na 0.0000 0.0000 0.0000  6 S 2.88-2.89
Dy 0.5000 0.5000 0.0000  6 S 2.74-2.75
S 0.7638 0.2746 0.5276  1 Zr 2.65, 2 Dy 2.75, 3 Na 2.88-2.97
S 0.2566 0.2698 0.5131  3 Dy 2.73-2.74, 3 Na 2.89
S 0.7532 0.7254 0.9893  1 Zr 2.65, 2 Dy 2.75, 2 Na 2.88
Zr 0.0000 0.5000 0.0000  6 S 2.65
S 0.2362 0.7254 0.9893  1 Zr 2.65, 2 Dy 2.75, 2 Na 2.88
S 0.2468 0.2746 0.0107  1 Zr 2.65, 2 Dy 2.75, 2 Na 2.88
Na 0.5000 0.0000 0.5000  6 S 2.88-2.89
Na 0.0000 0.0000 0.5000  6 S 2.88-2.89
S 0.7434 0.7302 0.4869  3 Dy 2.73-2.74, 3 Na 2.89
S 0.7638 0.2746 0.0107  1 Zr 2.65, 2 Dy 2.75, 2 Na 2.88

Record 2
Density functional theory data (PBE-GGA) for an optimized crystal structure of Nb6FeRu.

Summary:
**Total DFT energy (no corrections)**: -78.99 eV/cell
**ΔH_f (0 K)**: -0.83 eV per formula unit

abc: 4.5709 4.5709 7.2292
angles: 71.57 71.57 90.00
With the nearest neighbours (Å) after each atom.
Atoms (fractional coordinates):
Nb 0.1204 0.6204 0.7592  2 Ru 2.77, 2 Fe 2.77, 4 Nb 2.83-2.84
Ru 0.0000 0.0000 0.0000  8 Nb 2.77
Fe 0.5000 0.5000 0.0000  8 Nb 2.77
Nb 0.2507 0.2507 0.4985  8 Nb 2.83-2.84
Nb 0.8796 0.3796 0.2408  2 Ru 2.77, 2 Fe 2.77, 4 Nb 2.83-2.84
Nb 0.7493 0.7493 0.5015  8 Nb 2.83-2.84
Nb 0.3796 0.8796 0.2408  2 Ru 2.77, 2 Fe 2.77, 4 Nb 2.83-2.84
Nb 0.6204 0.1204 0.7592  2 Ru 2.77, 2 Fe 2.77, 4 Nb 2.83-2.84

Record 3
Density functional theory data (PBE-GGA) for an optimized crystal structure of CeZnOs.

Summary:
**Total DFT energy (no corrections)**: -18.59 eV/cell
**ΔH_f (0 K)**: -0.15 eV per formula unit

abc: 3.5406 4.4140 4.4140
angles: 120.00 90.00 90.00
With the nearest neighbours (Å) after each atom.
Atoms (fractional coordinates):
Os 0.1667 0.0000 0.0000  3 Zn 2.55
Ce 0.6667 0.3333 0.6667  6 Zn 3.10, 6 Os 3.10
Zn 0.1666 0.6667 0.3333  3 Os 2.55

Record 4
Density functional theory data (PBE-GGA) for an optimized crystal structure of Nd2YTm3Te6.

Summary:
**ΔE_f (raw)**: -1.28 eV/atom
**Total DFT energy (no corrections)**: -63.66 eV/cell

abc: 4.3230 8.8768 9.8666
angles: 104.80 102.65 90.00
With the nearest neighbours (Å) after each atom.
Atoms (fractional coordinates):
Tm 0.5000 0.5000 0.0000  6 Te 3.00-3.07
Nd 0.1695 0.3381 0.3390  6 Te 3.15-3.23
Te 0.9955 0.2516 0.9910  3 Tm 3.07-3.09, 2 Y 3.13, 1 Nd 3.23
Y 0.5000 0.0000 0.0000  6 Te 3.09-3.13
Te 0.0045 0.7484 0.0090  3 Tm 3.07-3.09, 2 Y 3.13, 1 Nd 3.23
Tm 0.8290 0.1643 0.6580  6 Te 3.02-3.09
Te 0.6659 0.0726 0.3318  3 Tm 3.03-3.04, 1 Y 3.09, 2 Nd 3.18
Te 0.3341 0.9274 0.6682  3 Tm 3.03-3.04, 1 Y 3.09, 2 Nd 3.18
Te 0.3385 0.4063 0.6771  3 Tm 3.00-3.02, 3 Nd 3.15-3.17
Nd 0.8305 0.6619 0.6610  6 Te 3.15-3.23
Te 0.6615 0.5937 0.3229  3 Tm 3.00-3.02, 3 Nd 3.15-3.17
Tm 0.1710 0.8357 0.3420  6 Te 3.02-3.09

Record 5
Density functional theory data (PBE-GGA) for an optimized crystal structure of Cs2PuU2S6.

Summary:
**ΔE_f (raw)**: -1.50 eV/atom
**Total DFT energy (no corrections)**: -79.84 eV/cell

abc: 7.0389 7.0389 8.5607
angles: 97.68 97.68 120.07
With the nearest neighbours (Å) after each atom.
Atoms (fractional coordinates):
S 0.7178 0.7178 0.6760  2 U 2.73, 1 Pu 2.79
Pu 0.0000 0.0000 0.5000  6 S 2.79-2.81
S 0.9444 0.6020 0.3247  2 U 2.73-2.74, 1 Pu 2.81
S 0.6020 0.9444 0.3247  2 U 2.73-2.74, 1 Pu 2.81
S 0.0556 0.3980 0.6753  2 U 2.73-2.74, 1 Pu 2.81
U 0.6659 0.3341 0.5000  6 S 2.73-2.74
Cs 0.1650 0.8350 0.0000  6 S 3.54-3.57
S 0.3980 0.0556 0.6753  2 U 2.73-2.74, 1 Pu 2.81
U 0.3341 0.6659 0.5000  6 S 2.73-2.74
S 0.2822 0.2822 0.3240  2 U 2.73, 1 Pu 2.79
Cs 0.8350 0.1650 0.0000  6 S 3.54-3.57

Record 6
Density functional theory data (PBE-GGA) for an optimized crystal structure of Co2PPt.

Summary:
**Total DFT energy (no corrections)**: -50.00 eV/cell
**ΔH_f (0 K)**: 0.66 eV per formula unit

abc: 3.5468 3.5468 8.9383
angles: 78.56 78.56 90.00
With the nearest neighbours (Å) after each atom.
Atoms (fractional coordinates):
P 0.2500 0.7500 0.5000  4 Co 2.44, 4 Pt 2.51
P 0.5000 0.5000 0.0000  4 Co 2.44, 4 Pt 2.51
Pt 0.0000 0.0000 0.0000  4 P 2.51, 4 Co 2.54
Co 0.3750 0.4161 0.7500  2 Co 2.31, 2 P 2.44, 2 Pt 2.54
Pt 0.7500 0.2500 0.5000  4 P 2.51, 4 Co 2.54
Co 0.8750 0.8339 0.7500  2 Co 2.31, 2 P 2.44, 2 Pt 2.54
Co 0.1661 0.6250 0.2500  2 Co 2.31, 2 P 2.44, 2 Pt 2.54
Co 0.5839 0.1250 0.2500  2 Co 2.31, 2 P 2.44, 2 Pt 2.54

Record 7
Density functional theory data (PBE-GGA) for an optimized crystal structure of Pa2Cu2Ge3.

Summary:
**Total DFT energy (no corrections)**: -41.43 eV/cell
**ΔH_f (0 K)**: -0.40 eV per formula unit

abc: 4.6589 3.7593 8.7869
angles: 102.35 105.37 90.00
With the nearest neighbours (Å) after each atom.
Atoms (fractional coordinates):
Ge 0.3334 0.8334 0.6669  2 Cu 2.49
Cu 0.4323 0.4323 0.8646  1 Cu 2.24, 2 Ge 2.49
Ge 0.6666 0.1666 0.3331  2 Cu 2.49
Pa 0.1570 0.6570 0.3141  2 Cu 2.76, 5 Ge 2.91-3.00
Cu 0.5677 0.5677 0.1354  1 Cu 2.24, 2 Ge 2.49
Ge 0.0000 0.0000 0.0000  8 Cu 3.20, 4 Pa 3.20
Pa 0.8430 0.3430 0.6859  2 Cu 2.76, 5 Ge 2.91-3.00

Record 8
Density functional theory data (PBE-GGA) for an optimized crystal structure of KPt3.

Summary:
**Total DFT energy (no corrections)**: -18.59 eV/cell
**ΔH_f (0 K)**: 0.63 eV per formula unit

abc: 2.8311 2.8311 9.2727
angles: 90.00 90.00 90.01
With the nearest neighbours (Å) after each atom.
Atoms (fractional coordinates):
Pt 0.0000 0.0000 0.5000  12 Pt 2.80-2.83
K 0.0000 0.0000 0.0000  4 K 2.83
Pt 0.5000 0.5000 0.7108  8 Pt 2.80-2.83
Pt 0.5000 0.5000 0.2892  8 Pt 2.80-2.83

Record 9
Density functional theory data (PBE-GGA) for an optimized crystal structure of Sb2IrSe.

Summary:
**ΔE_f (raw)**: 0.18 eV/atom
**Total DFT energy (no corrections)**: -19.87 eV/cell

abc: 4.8903 4.8870 4.8842
angles: 69.16 73.28 110.89
With the nearest neighbours (Å) after each atom.
Atoms (fractional coordinates):
Sb 0.0000 0.0000 0.0000  2 Se 2.77, 2 Ir 2.77, 2 Sb 2.92
Sb 0.5000 0.0000 0.5000  2 Ir 2.77, 2 Se 2.77, 2 Sb 2.92
Se 0.0000 0.5000 0.5000  4 Sb 2.77, 2 Ir 2.92
Ir 0.5000 0.5000 0.0000  4 Sb 2.77, 2 Se 2.92

Record 10
Density functional theory data (PBE-GGA) for an optimized crystal structure of SmThTeC.

Summary:
**ΔE_f (raw)**: -0.81 eV/atom
**Total DFT energy (no corrections)**: -27.76 eV/cell

abc: 3.9397 3.9396 7.6793
angles: 90.00 104.86 120.00
With the nearest neighbours (Å) after each atom.
Atoms (fractional coordinates):
Th 0.0900 0.9430 0.0483  3 C 2.58
Sm 0.5064 0.1512 0.6728  3 C 2.74
C 0.3124 0.5541 0.8818  3 Th 2.58, 3 Sm 2.74
Te 0.9691 0.3825 0.3668  3 Sm 3.20, 3 Th 3.26

Record 11
Density functional theory data (PBE-GGA) for an optimized crystal structure of MgNpPdO6.

Summary:
**ΔE_f (raw)**: -1.91 eV/atom
**Total DFT energy (no corrections)**: -133.29 eV/cell

abc: 5.2449 5.2449 9.3085
angles: 90.00 90.00 120.00
With the nearest neighbours (Å) after each atom.
Atoms (fractional coordinates):
Pd 0.3333 0.6667 0.2500  6 O 2.04
O 0.3368 0.9945 0.1303  1 Pd 2.04, 1 Np 2.08, 1 Mg 2.15
Np 0.3333 0.6667 0.7500  6 O 2.08
O 0.6632 0.0055 0.8697  1 Pd 2.04, 1 Np 2.08, 1 Mg 2.15
O 0.3423 0.0055 0.6303  1 Pd 2.04, 1 Np 2.08, 1 Mg 2.15
O 0.9945 0.6577 0.8697  1 Pd 2.04, 1 Np 2.08, 1 Mg 2.15
O 0.6577 0.6632 0.1303  1 Pd 2.04, 1 Np 2.08, 1 Mg 2.15
Mg 0.0000 0.0000 0.0000  6 O 2.15
O 0.3368 0.3423 0.3697  1 Pd 2.04, 1 Np 2.08, 1 Mg 2.15
O 0.9945 0.3368 0.6303  1 Pd 2.04, 1 Np 2.08, 1 Mg 2.15
O 0.6577 0.9945 0.3697  1 Pd 2.04, 1 Np 2.08, 1 Mg 2.15
O 0.3423 0.3368 0.8697  1 Pd 2.04, 1 Np 2.08, 1 Mg 2.15
O 0.6632 0.6577 0.6303  1 Pd 2.04, 1 Np 2.08, 1 Mg 2.15
O 0.0055 0.6632 0.3697  1 Pd 2.04, 1 Np 2.08, 1 Mg 2.15
O 0.0055 0.3423 0.1303  1 Pd 2.04, 1 Np 2.08, 1 Mg 2.15
Mg 0.0000 0.0000 0.5000  6 O 2.15
Np 0.6667 0.3333 0.2500  6 O 2.08
Pd 0.6667 0.3333 0.7500  6 O 2.04

Record 12
Density functional theory data (PBE-GGA) for an optimized crystal structure of RbPbO2F.

Summary:
**ΔE_f (raw)**: -1.42 eV/atom
**Total DFT energy (no corrections)**: -23.57 eV/cell

abc: 4.3173 4.3173 4.7010
angles: 90.00 90.00 90.00
With the nearest neighbours (Å) after each atom.
Atoms (fractional coordinates):
Pb 0.0000 0.0000 0.0000  4 O 2.16, 2 F 2.35
Rb 0.5000 0.5000 0.5000  4 F 3.05, 8 O 3.19
O 0.0000 0.5000 0.0000  2 Pb 2.16
F 0.0000 0.0000 0.5000  2 Pb 2.35
O 0.5000 0.0000 0.0000  2 Pb 2.16

Question: Look up the total DFT energy (no corrections) of the tenth one.
Answer: -27.76 eV/cell